Record 1
! PBE TmNp4Ga15, relaxed; values from VASP
&SYSTEM
  ibrav = 0, nat = 20, ntyp = 3
/
ATOMIC_SPECIES
Ga 69.72 Ga.upf
Np 237.00 Np.upf
Tm 168.93 Tm.upf
CELL_PARAMETERS angstrom
4.0228 0.0000 -0.0048
0.0000 4.0211 0.0000
-0.0896 -0.0001 24.8019
ATOMIC_POSITIONS crystal
Ga 0.5049 0.5000 0.2608
Ga 0.0011 0.5000 0.0915
Ga 0.4981 0.0000 0.9085
Ga 0.0000 0.5000 0.5000
Ga 0.5019 0.0000 0.0915
Ga 0.9989 0.5000 0.9085
Ga 0.5000 0.0000 0.5000
Ga 0.5000 0.5000 0.0000
Ga 0.4951 0.5000 0.7392
Ga 0.9914 0.5000 0.6054
Ga 0.5092 0.0000 0.3945
Ga 0.0086 0.5000 0.3946
Ga 0.4977 0.5000 0.8402
Ga 0.5023 0.5000 0.1598
Ga 0.4908 0.0000 0.6055
Np 0.9965 0.0000 0.7973
Np 0.0062 0.0000 0.3020
Np 0.0035 0.0000 0.2027
Np 0.9938 0.0000 0.6980
Tm 0.0000 0.0000 0.0000
! - magnetization (μB/atom) = 0.062
! - E_form (meV/atom) = -62
! - calculated volume (Å³/cell) = 401

Record 2
! PBE Ba5Hf4S13, relaxed; values from VASP
&SYSTEM
  ibrav = 0, nat = 22, ntyp = 3
/
ATOMIC_SPECIES
Ba 137.33 Ba.upf
S 32.06 S.upf
Hf 178.49 Hf.upf
CELL_PARAMETERS angstrom
23.1475 -0.0020 0.0000
22.0656 6.9939 0.0000
-22.6066 -3.4959 3.5395
ATOMIC_POSITIONS crystal
Ba 0.5000 0.5000 0.0000
Ba 0.6068 0.6068 0.0000
Ba 0.7108 0.7108 0.0000
Ba 0.3932 0.3932 0.0000
Ba 0.2892 0.2892 0.0000
S 0.0000 0.0000 0.0000
S 0.2206 0.2206 0.0000
S 0.3367 0.8367 0.5000
S 0.6633 0.1633 0.5000
S 0.5545 0.0545 0.5000
S 0.9455 0.4455 0.5000
S 0.8903 0.8903 0.0000
S 0.4455 0.9455 0.5000
S 0.7794 0.7794 0.0000
S 0.8367 0.3367 0.5000
S 0.1633 0.6633 0.5000
S 0.1097 0.1097 0.0000
S 0.0545 0.5545 0.5000
Hf 0.9448 0.9448 0.0000
Hf 0.8338 0.8338 0.0000
Hf 0.0552 0.0552 0.0000
Hf 0.1662 0.1662 0.0000
! - magnetization (μB/atom) = 0.000
! - formation energy from raw total energies (kJ per mole of atoms) = -179.1
! - calculated volume (Å³/cell) = 573

Record 3
! PBE MgV2Se, relaxed; values from VASP
&SYSTEM
  ibrav = 0, nat = 8, ntyp = 3
/
ATOMIC_SPECIES
Se 78.96 Se.upf
V 50.94 V.upf
Mg 24.30 Mg.upf
CELL_PARAMETERS angstrom
-0.6533 -1.5852 -3.2719
-2.9282 -1.7409 1.4281
-7.4145 5.7650 -3.3978
ATOMIC_POSITIONS crystal
Se 0.0000 0.0000 0.0000
Se 0.7500 0.2500 0.5000
V 0.6413 0.1250 0.2500
V 0.3750 0.3587 0.7500
V 0.8750 0.8913 0.7500
V 0.1087 0.6250 0.2500
Mg 0.5000 0.5000 0.0000
Mg 0.2500 0.7500 0.5000
! - magnetization (μB/atom) = 0.000
! - polymorph energy (0 for the lowest one) (meV/atom) = 0.0
! - formation energy from raw total energies (kJ per mole of atoms) = 23.3
! - calculated volume (Å³/cell) = 132

Record 4
! PBE LiY2Cd, relaxed; values from VASP
&SYSTEM
  ibrav = 0, nat = 4, ntyp = 3
/
ATOMIC_SPECIES
Y 88.91 Y.upf
Li 6.94 Li.upf
Cd 112.41 Cd.upf
CELL_PARAMETERS angstrom
-2.6967 -4.2617 3.2465
2.1756 -5.5454 -0.6989
2.3285 5.4139 1.1140
ATOMIC_POSITIONS crystal
Y 0.0000 0.0000 0.0000
Y 0.2500 0.7500 0.5000
Li 0.7500 0.2500 0.5000
Cd 0.5000 0.5000 0.0000
! - magnetization (μB/atom) = 0.000
! - polymorph energy (0 for the lowest one) (meV/atom) = 127.6
! - E_form (meV/atom) = -22
! - calculated volume (Å³/cell) = 104

Record 5
! PBE La2ZnCdCo, relaxed; values from VASP
&SYSTEM
  ibrav = 0, nat = 5, ntyp = 4
/
ATOMIC_SPECIES
La 138.91 La.upf
Cd 112.41 Cd.upf
Zn 65.41 Zn.upf
Co 58.93 Co.upf
CELL_PARAMETERS angstrom
5.2361 0.0000 0.0000
0.0000 5.2361 0.0000
0.0000 0.0000 4.7845
ATOMIC_POSITIONS crystal
La 0.0000 0.5000 0.0000
La 0.5000 0.0000 0.0000
Cd 0.5000 0.5000 0.5000
Zn 0.0000 0.0000 0.5000
Co 0.0000 0.0000 0.0000
! - magnetization (μB/atom) = 0.000
! - polymorph energy (0 for the lowest one) (meV/atom) = 0.0
! - E_form (meV/atom) = -228
! - calculated volume (Å³/cell) = 131

Record 6
! PBE HgPCl2O, relaxed; values from VASP
&SYSTEM
  ibrav = 0, nat = 5, ntyp = 4
/
ATOMIC_SPECIES
O 16.00 O.upf
Cl 35.45 Cl.upf
Hg 200.59 Hg.upf
P 30.97 P.upf
CELL_PARAMETERS angstrom
5.7522 0.0000 0.0000
0.0000 5.7522 0.0000
0.0000 0.0000 3.3483
ATOMIC_POSITIONS crystal
O 0.0000 0.0000 0.0000
Cl 0.0000 0.5000 0.0000
Cl 0.5000 0.0000 0.0000
Hg 0.5000 0.5000 0.5000
P 0.0000 0.0000 0.5000
! - magnetization (μB/atom) = 0.000
! - polymorph energy (0 for the lowest one) (meV/atom) = 0.0
! - formation energy from raw total energies (kJ per mole of atoms) = 10.4
! - calculated volume (Å³/cell) = 111

Record 7
! PBE Ta2CrPb, relaxed; values from VASP
&SYSTEM
  ibrav = 0, nat = 4, ntyp = 3
/
ATOMIC_SPECIES
Ta 180.95 Ta.upf
Pb 207.20 Pb.upf
Cr 52.00 Cr.upf
CELL_PARAMETERS angstrom
-0.2318 2.4050 -4.8331
-0.1613 -3.2686 -4.2996
-2.6502 0.4082 4.6911
ATOMIC_POSITIONS crystal
Ta 0.5000 0.5000 0.0000
Ta 0.0000 0.0000 0.0000
Pb 0.7500 0.2500 0.5000
Cr 0.2500 0.7500 0.5000
! - magnetization (μB/atom) = 0.815
! - E_form (meV/atom) = 465
! - calculated volume (Å³/cell) = 75

Record 8
! PBE CuBSe2, relaxed; values from VASP
&SYSTEM
  ibrav = 0, nat = 8, ntyp = 3
/
ATOMIC_SPECIES
Se 78.96 Se.upf
B 10.81 B.upf
Cu 63.55 Cu.upf
CELL_PARAMETERS angstrom
7.1074 0.0000 0.0548
2.5375 5.9142 -2.5453
-2.5375 5.9142 2.5453
ATOMIC_POSITIONS crystal
Se 0.0852 0.1710 0.0202
Se 0.9148 0.8290 0.9798
Se 0.4148 0.5202 0.6710
Se 0.5852 0.4798 0.3290
B 0.2500 0.7488 0.2488
B 0.7500 0.2512 0.7512
Cu 0.2500 0.2991 0.7991
Cu 0.7500 0.7009 0.2009
! - magnetization (μB/atom) = 0.000
! - formation energy from raw total energies (kJ per mole of atoms) = -2.4
! - calculated volume (Å³/cell) = 216

Record 9
! PBE BaTiBe2, relaxed; values from VASP
&SYSTEM
  ibrav = 0, nat = 4, ntyp = 3
/
ATOMIC_SPECIES
Ti 47.87 Ti.upf
Be 9.01 Be.upf
Ba 137.33 Ba.upf
CELL_PARAMETERS angstrom
0.0000 3.4475 3.4475
3.4475 0.0000 3.4475
3.4475 3.4475 0.0000
ATOMIC_POSITIONS crystal
Ti 0.0000 0.0000 0.0000
Be 0.7500 0.7500 0.7500
Be 0.2500 0.2500 0.2500
Ba 0.5000 0.5000 0.5000
! - magnetization (μB/atom) = 0.000
! - polymorph energy (0 for the lowest one) (meV/atom) = 87.4
! - E_form (meV/atom) = 914
! - calculated volume (Å³/cell) = 82

Record 10
! PBE ZrGaCuOs, relaxed; values from VASP
&SYSTEM
  ibrav = 0, nat = 4, ntyp = 4
/
ATOMIC_SPECIES
Ga 69.72 Ga.upf
Cu 63.55 Cu.upf
Os 190.23 Os.upf
Zr 91.22 Zr.upf
CELL_PARAMETERS angstrom
4.4800 0.0000 0.0000
2.2400 3.8798 0.0000
2.2400 1.2933 3.6579
ATOMIC_POSITIONS crystal
Ga 0.5000 0.5000 0.5000
Cu 0.2500 0.2500 0.2500
Os 0.7500 0.7500 0.7500
Zr 0.0000 0.0000 0.0000
! - magnetization (μB/atom) = 0.000
! - E_form (meV/atom) = -192
! - calculated volume (Å³/cell) = 64

Record 11
! PBE K5Rb2Cd2Hg, relaxed; values from VASP
&SYSTEM
  ibrav = 0, nat = 20, ntyp = 4
/
ATOMIC_SPECIES
Cd 112.41 Cd.upf
Rb 85.47 Rb.upf
K 39.10 K.upf
Hg 200.59 Hg.upf
CELL_PARAMETERS angstrom
4.7525 0.0000 0.0000
0.0000 14.9972 0.0000
0.0000 0.0000 14.9972
ATOMIC_POSITIONS crystal
Cd 0.0000 0.6317 0.8683
Cd 0.0000 0.3683 0.1317
Cd 0.0000 0.8683 0.3683
Cd 0.0000 0.1317 0.6317
Rb 0.0000 0.1758 0.3242
Rb 0.0000 0.6758 0.1758
Rb 0.0000 0.8242 0.6758
Rb 0.0000 0.3242 0.8242
K 0.5000 0.4395 0.3091
K 0.5000 0.9395 0.1909
K 0.5000 0.5605 0.6909
K 0.5000 0.3091 0.5605
K 0.5000 0.0000 0.5000
K 0.5000 0.5000 0.0000
K 0.5000 0.0605 0.8091
K 0.5000 0.8091 0.9395
K 0.5000 0.1909 0.0605
K 0.5000 0.6909 0.4395
Hg 0.0000 0.5000 0.5000
Hg 0.0000 0.0000 0.0000
! - magnetization (μB/atom) = 0.000
! - E_form (meV/atom) = -44
! - calculated volume (Å³/cell) = 1069

Record 12
! PBE DyHo4Sc8, relaxed; values from VASP
&SYSTEM
  ibrav = 0, nat = 13, ntyp = 3
/
ATOMIC_SPECIES
Sc 44.96 Sc.upf
Ho 164.93 Ho.upf
Dy 162.50 Dy.upf
CELL_PARAMETERS angstrom
-2.0024 5.0558 -4.9597
-5.7741 1.8046 4.1918
4.1106 5.0182 3.4770
ATOMIC_POSITIONS crystal
Sc 0.2410 0.7604 0.7604
Sc 0.7604 0.2410 0.7604
Sc 0.2396 0.2396 0.7590
Sc 0.7590 0.2396 0.2396
Sc 0.7599 0.7599 0.7599
Sc 0.2396 0.7590 0.2396
Sc 0.7604 0.7604 0.2410
Sc 0.2401 0.2401 0.2401
Ho 0.5000 0.0000 0.5000
Ho 0.5000 0.5000 0.0000
Ho 0.0000 0.5000 0.5000
Ho 0.0000 0.0000 0.0000
Dy 0.5000 0.5000 0.5000
! - magnetization (μB/atom) = 0.121
! - E_form (meV/atom) = 595
! - calculated volume (Å³/cell) = 399

Record 13
! PBE LiHgSb2, relaxed; values from VASP
&SYSTEM
  ibrav = 0, nat = 4, ntyp = 3
/
ATOMIC_SPECIES
Sb 121.76 Sb.upf
Hg 200.59 Hg.upf
Li 6.94 Li.upf
CELL_PARAMETERS angstrom
-5.1485 1.8918 1.0810
-0.1377 -2.6570 -4.9169
-0.7140 -2.8279 1.5481
ATOMIC_POSITIONS crystal
Sb 0.0000 0.0000 0.0000
Sb 0.5000 0.5000 0.0000
Hg 0.5000 0.0000 0.5000
Li 0.0000 0.5000 0.5000
! - magnetization (μB/atom) = 0.000
! - formation energy from raw total energies (kJ per mole of atoms) = -7.1
! - calculated volume (Å³/cell) = 98

Record 14
! PBE Dy4Ho2ErSc, relaxed; values from VASP
&SYSTEM
  ibrav = 0, nat = 8, ntyp = 4
/
ATOMIC_SPECIES
Er 167.26 Er.upf
Dy 162.50 Dy.upf
Ho 164.93 Ho.upf
Sc 44.96 Sc.upf
CELL_PARAMETERS angstrom
-0.0218 -3.3564 -3.6415
2.1977 -3.2710 3.0019
-6.6476 -6.4619 5.9961
ATOMIC_POSITIONS crystal
Er 0.5000 0.5000 0.0000
Dy 0.5000 0.7460 0.2541
Dy 0.0000 0.7543 0.7457
Dy 0.0000 0.2457 0.2543
Dy 0.5000 0.2540 0.7459
Ho 0.5000 0.0000 0.5000
Ho 0.0000 0.0000 0.0000
Sc 0.0000 0.5000 0.5000
! - magnetization (μB/atom) = 0.000
! - E_form (meV/atom) = 31
! - calculated volume (Å³/cell) = 242

Record 15
! PBE Sc2TeOs, relaxed; values from VASP
&SYSTEM
  ibrav = 0, nat = 4, ntyp = 3
/
ATOMIC_SPECIES
Sc 44.96 Sc.upf
Te 127.60 Te.upf
Os 190.23 Os.upf
CELL_PARAMETERS angstrom
4.3592 0.0000 0.0000
0.0000 3.5532 0.0060
0.0000 1.7638 5.2830
ATOMIC_POSITIONS crystal
Sc 0.0000 0.9815 0.9121
Sc 0.5000 0.2840 0.3062
Te 0.0000 0.7046 0.4654
Os 0.5000 0.5299 0.8164
! - magnetization (μB/atom) = 0.000
! - formation energy from raw total energies (kJ per mole of atoms) = -53.7
! - calculated volume (Å³/cell) = 82

Record 16
! PBE CeNd2Gd, relaxed; values from VASP
&SYSTEM
  ibrav = 0, nat = 4, ntyp = 3
/
ATOMIC_SPECIES
Gd 157.25 Gd.upf
Nd 144.24 Nd.upf
Ce 140.12 Ce.upf
CELL_PARAMETERS angstrom
-3.1054 -1.5005 -0.9673
-0.4857 -1.1575 3.3548
-4.9243 8.7127 2.2933
ATOMIC_POSITIONS crystal
Gd 0.5000 0.5000 0.0000
Nd 0.0000 0.0000 0.7412
Nd 0.0000 0.0000 0.2588
Ce 0.5000 0.5000 0.5000
! - magnetization (μB/atom) = 1.777
! - polymorph energy (0 for the lowest one) (meV/atom) = 0.0
! - E_form (meV/atom) = 63
! - calculated volume (Å³/cell) = 132

Record 17
! PBE NaErTl, relaxed; values from VASP
&SYSTEM
  ibrav = 0, nat = 9, ntyp = 3
/
ATOMIC_SPECIES
Tl 204.38 Tl.upf
Na 22.99 Na.upf
Er 167.26 Er.upf
CELL_PARAMETERS angstrom
4.6426 0.0000 0.0000
0.0000 8.2295 0.0000
0.0000 -4.1148 7.1270
ATOMIC_POSITIONS crystal
Tl 0.5000 0.6667 0.3333
Tl 0.5000 0.3333 0.6667
Tl 0.0000 0.0000 0.0000
Na 0.0000 0.4052 0.0000
Na 0.0000 0.5948 0.5948
Na 0.0000 0.0000 0.4052
Er 0.5000 0.0000 0.7497
Er 0.5000 0.2503 0.2503
Er 0.5000 0.7497 0.0000
! - magnetization (μB/atom) = 0.000
! - polymorph energy (0 for the lowest one) (meV/atom) = 92.0
! - E_form (meV/atom) = -32
! - calculated volume (Å³/cell) = 272

Record 18
! PBE CaGdZnRu, relaxed; values from VASP
&SYSTEM
  ibrav = 0, nat = 4, ntyp = 4
/
ATOMIC_SPECIES
Ru 101.07 Ru.upf
Gd 157.25 Gd.upf
Ca 40.08 Ca.upf
Zn 65.41 Zn.upf
CELL_PARAMETERS angstrom
-4.6719 -0.6702 1.5155
-2.9047 -3.2912 -2.3029
-1.2833 -4.2040 2.2917
ATOMIC_POSITIONS crystal
Ru 0.7500 0.7500 0.7500
Gd 0.5000 0.5000 0.5000
Ca 0.0000 0.0000 0.0000
Zn 0.2500 0.2500 0.2500
! - magnetization (μB/atom) = 1.755
! - E_form (meV/atom) = -120
! - calculated volume (Å³/cell) = 86

Record 19
! PBE LaPm4Pr8, relaxed; values from VASP
&SYSTEM
  ibrav = 0, nat = 13, ntyp = 3
/
ATOMIC_SPECIES
Pm 145.00 Pm.upf
Pr 140.91 Pr.upf
La 138.91 La.upf
CELL_PARAMETERS angstrom
10.5446 -0.0008 -5.6891
-6.8066 9.8603 -0.0005
-2.9688 -2.0490 7.1144
ATOMIC_POSITIONS crystal
Pm 0.5000 0.0000 0.0000
Pm 0.0000 0.5000 0.0000
Pm 0.0000 0.0000 0.0000
Pm 0.5000 0.5000 0.0000
Pr 0.1646 0.3304 0.9987
Pr 0.8354 0.1658 0.0013
Pr 0.8354 0.6696 0.0013
Pr 0.4822 0.2411 0.7232
Pr 0.3316 0.1658 0.0012
Pr 0.5178 0.7589 0.2768
Pr 0.6684 0.8342 0.9988
Pr 0.1646 0.8342 0.9987
La 0.0000 0.5000 0.5000
! - magnetization (μB/atom) = 0.000
! - E_form (meV/atom) = 383
! - calculated volume (Å³/cell) = 494

Record 20
! PBE Pm2Nd4ErTh, relaxed; values from VASP
&SYSTEM
  ibrav = 0, nat = 8, ntyp = 4
/
ATOMIC_SPECIES
Nd 144.24 Nd.upf
Er 167.26 Er.upf
Pm 145.00 Pm.upf
Th 232.04 Th.upf
CELL_PARAMETERS angstrom
6.1001 0.0000 0.0000
0.0001 5.7829 1.9166
0.0001 3.4670 8.8584
ATOMIC_POSITIONS crystal
Nd 0.5000 0.2467 0.7537
Nd 0.0000 0.2547 0.2459
Nd 0.5000 0.7533 0.2463
Nd 0.0000 0.7453 0.7541
Er 0.0000 0.5000 0.5000
Pm 0.0000 0.0000 0.0000
Pm 0.5000 0.0000 0.5000
Th 0.5000 0.5000 0.0000
! - magnetization (μB/atom) = 0.000
! - E_form (meV/atom) = 135
! - calculated volume (Å³/cell) = 272

Short version: final energy = -102.9 -143.9 -44.7 -15.8 -20.3 -13.8 -35.2 -35.7 -13.6 -27.7 -20.0 -65.8 -10.8 -38.2 -29.3 -29.3 -25.0 -27.1 -57.2 -39.5 eV per cell, in the order given.